Record 1
4
Lattice="0.000 3.486 3.486 3.486 0.000 3.486 3.486 3.486 0.000" Properties=species:S:1:pos:R:3 comment="TbAlHgAu PBE optimized geometry" e_form_ev_per_fu=-2.01 pbc="T T T"
Tb 0.000 0.000 0.000
Al 3.486 3.486 3.486
Hg 5.230 5.230 5.230
Au 1.743 1.743 1.743



Record 2
4
Lattice="3.889 0.000 0.000 0.000 3.294 0.000 -1.934 0.000 5.972" Properties=species:S:1:pos:R:3 comment="TlP2Ru PBE optimized geometry" e_form_ev_per_fu=0.29 de_polymorph_mev_per_atom=119.6 pbc="T T T"
Tl 0.000 0.000 0.000
P -0.101 1.647 2.965
P 1.328 0.000 3.206
Ru 1.983 1.647 1.553



Record 3
4
Lattice="1.444 0.833 8.260 -1.444 0.833 8.260 0.000 -1.667 8.260" Properties=species:S:1:pos:R:3 comment="TaPRh2 PBE optimized geometry" e_form_ev_per_fu=-0.99 pbc="T T T"
Ta 0.000 0.000 0.000
P 0.000 0.000 6.154
Rh 0.000 0.000 12.722
Rh 0.000 0.000 18.621



Record 4
5
Lattice="5.424 0.000 0.000 0.000 5.424 0.000 0.000 0.000 5.424" Properties=species:S:1:pos:R:3 comment="BaInPt3 PBE optimized geometry" e_form_ev_per_fu=6.61 de_polymorph_mev_per_atom=1318.3 pbc="T T T"
Ba 0.000 0.000 0.000
In 2.712 2.712 2.712
Pt 0.000 0.000 2.712
Pt 0.000 2.712 0.000
Pt 2.712 0.000 0.000



Record 5
10
Lattice="6.240 -2.217 0.000 6.240 2.217 0.000 -0.092 0.000 5.508" Properties=species:S:1:pos:R:3 comment="Re3TcRh PBE optimized geometry" e_form_ev_per_fu=0.85 de_polymorph_mev_per_atom=0.0 pbc="T T T"
Re 1.425 0.000 1.333
Re 3.787 0.000 2.750
Re 3.898 0.000 0.005
Re 8.491 0.000 5.504
Re 8.601 0.000 2.759
Re 10.963 0.000 4.175
Tc 6.211 0.000 1.526
Tc 6.178 0.000 3.983
Rh 1.439 0.000 4.122
Rh 10.949 0.000 1.386



Record 6
6
Lattice="0.000 4.343 4.343 4.343 0.000 4.343 4.343 4.343 0.000" Properties=species:S:1:pos:R:3 comment="KLi4Cl PBE optimized geometry" e_form_raw_kj_per_mol_atoms=-20.2 pbc="T T T"
K 0.000 0.000 0.000
Li 5.409 3.277 3.277
Li 3.277 5.409 3.277
Li 3.277 3.277 5.409
Li 5.409 5.409 5.409
Cl 2.171 2.171 2.171



Record 7
10
Lattice="6.940 0.000 0.000 0.000 8.323 0.000 -2.890 0.000 7.714" Properties=species:S:1:pos:R:3 comment="Cs3TeF PBE optimized geometry" e_form_raw_kj_per_mol_atoms=-157.4 de_polymorph_mev_per_atom=52.2 pbc="T T T"
Cs 0.322 2.081 1.181
Cs 0.322 0.185 5.656
Cs 0.322 3.976 5.656
Cs 3.728 4.347 2.058
Cs 3.728 8.138 2.058
Cs 3.727 6.242 6.533
Te 0.295 6.242 2.513
Te 3.754 2.081 5.201
F 3.038 2.081 0.415
F 1.012 6.242 7.299



Record 8
4
Lattice="0.000 3.028 3.028 3.028 0.000 3.028 3.028 3.028 0.000" Properties=species:S:1:pos:R:3 comment="MgSiPdRu PBE optimized geometry" e_form_raw_kj_per_mol_atoms=-48.6 pbc="T T T"
Mg 0.000 0.000 0.000
Si 3.028 3.028 3.028
Pd 1.514 1.514 1.514
Ru 4.542 4.542 4.542



Record 9
20
Lattice="7.205 0.000 0.000 0.000 5.045 0.000 -2.669 0.000 9.320" Properties=species:S:1:pos:R:3 comment="AlZnAg3 PBE optimized geometry" e_form_ev_per_fu=-0.12 de_polymorph_mev_per_atom=0.0 pbc="T T T"
Al 1.450 0.896 1.166
Al 0.115 1.627 5.826
Al 4.420 3.418 3.494
Al 3.086 4.149 8.154
Zn 1.784 3.603 2.604
Zn 0.449 3.964 7.264
Zn 4.086 1.081 2.056
Zn 2.752 1.441 6.716
Ag -1.866 0.686 7.668
Ag -0.531 1.837 3.008
Ag -1.486 3.306 9.159
Ag -0.151 4.261 4.500
Ag 2.059 1.233 3.930
Ag 0.725 1.289 8.590
Ag 3.811 3.755 0.730
Ag 2.477 3.812 5.390
Ag 4.687 0.783 4.820
Ag 6.022 1.739 0.160
Ag 5.067 3.208 6.312
Ag 6.402 4.359 1.652



Record 10
4
Lattice="0.000 3.760 3.760 3.760 0.000 3.760 3.760 3.760 0.000" Properties=species:S:1:pos:R:3 comment="CaLaPmRu PBE optimized geometry" e_form_ev_per_fu=0.55 pbc="T T T"
Ca 0.000 0.000 0.000
La 1.880 1.880 1.880
Pm 5.641 5.641 5.641
Ru 3.760 3.760 3.760



Record 11
19
Lattice="5.532 3.194 2.645 -5.532 3.194 2.645 0.000 -6.388 2.645" Properties=species:S:1:pos:R:3 comment="Ti12BeCo6 PBE optimized geometry" e_form_ev_per_fu=-1.30 pbc="T T T"
Ti -1.635 0.600 1.777
Ti 0.298 -1.715 1.777
Ti -1.851 -2.033 3.588
Ti -2.686 0.587 4.346
Ti 1.337 1.116 1.777
Ti 0.835 -2.619 4.346
Ti -0.835 2.619 3.588
Ti -1.337 -1.116 6.157
Ti 2.686 -0.587 3.588
Ti 1.851 2.033 4.346
Ti -0.298 1.715 6.157
Ti 1.635 -0.600 6.157
Be 0.000 0.000 3.967
Co -0.852 -4.060 3.041
Co -3.942 -1.292 4.893
Co -3.090 2.768 3.041
Co 3.090 -2.768 4.893
Co 3.942 1.292 3.041
Co 0.852 4.060 4.893



no.,V (Å³/cell),DOS(E_F) (states/eV per cell),size of the total moment (μB/f.u.)
1,84.76,2.0,0.00
2,76.51,1.6,0.00
3,59.63,3.8,0.00
4,159.60,8.3,0.00
5,152.42,10.1,0.00
6,163.81,1.3,0.00
7,445.57,0.0,0.00
8,55.51,1.0,0.00
9,338.74,5.3,0.00
10,106.35,4.0,0.00
11,280.35,22.6,0.00